# FeSiN | Alexandria via LeMat-Bulk | PBE | optimized geometry
data_FeSiN
_chemical_formula_sum 'Fe4 Si4 N4'
_cell_length_a 10.235
_cell_length_b 2.760
_cell_length_c 4.878
_cell_angle_alpha 90.00
_cell_angle_beta 116.95
_cell_angle_gamma 90.00
_symmetry_space_group_name_H-M 'C 1 m 1'
_symmetry_Int_Tables_number 8
_symmetry_space_group_name_Hall 'C -2y'
loop_
_atom_site_label
_atom_site_type_symbol
_atom_site_fract_x
_atom_site_fract_y
_atom_site_fract_z
Fe1 Fe 0.000 0.000 0.000
Fe2 Fe 0.224 0.500 0.418
Si1 Si 0.002 0.500 0.424
Si2 Si 0.290 0.000 0.876
N1 N 0.200 0.000 0.121
N2 N 0.444 0.500 0.562
# Total DFT energy (no corrections) in eV/atom: -7.63
# E above lowest polymorph in meV/atom: 75
# Uncorrected formation energy in eV/f.u.: -0.69

***

# FeSiN | Alexandria via LeMat-Bulk | PBE | optimized geometry
data_FeSiN
_chemical_formula_sum 'Fe4 Si4 N4'
_cell_length_a 9.617
_cell_length_b 2.693
_cell_length_c 5.283
_cell_angle_alpha 90.00
_cell_angle_beta 115.16
_cell_angle_gamma 90.00
_symmetry_space_group_name_H-M 'C 1 m 1'
_symmetry_Int_Tables_number 8
_symmetry_space_group_name_Hall 'C -2y'
loop_
_atom_site_label
_atom_site_type_symbol
_atom_site_fract_x
_atom_site_fract_y
_atom_site_fract_z
Fe1 Fe 0.000 0.000 0.000
Fe2 Fe 0.222 0.500 0.060
Si1 Si 0.294 0.000 0.683
Si2 Si 0.489 0.000 0.323
N1 N 0.160 0.500 0.644
N2 N 0.313 0.000 0.354
# Total DFT energy (no corrections) in eV/atom: -7.60
# E above lowest polymorph in meV/atom: 109
# Uncorrected formation energy in eV/f.u.: -0.59